No. 1
This record from Alexandria describes an optimized crystal structure of Dy2Ni12P7. The functional is GGA-PBE.

formation enthalpy at 0 K = -771 meV per atom
energy relative to the lowest polymorph listed for this composition = 0 meV per atom

Cell: 9.0396 9.0396 3.6946 Å, 90.00 90.00 120.00°
Space group P-6 (No. 174)
Asymmetric unit:
Dy1 0.0000 0.0000 0.0000
Dy2 0.3333 0.6667 0.5000
Ni1 0.0480 0.7639 0.5000
Ni2 0.1005 0.3942 0.0000
Ni3 0.3921 0.2107 0.0000
Ni4 0.5458 0.1189 0.5000
P1 0.0738 0.6280 0.0000
P2 0.2621 0.0386 0.5000
P3 0.6667 0.3333 0.0000



No. 2
This record from Alexandria describes an optimized crystal structure of Ac4GeSbCl2. The functional is GGA-PBE.

energy relative to the elements, uncorrected = -10.37 eV/f.u.

Cell: 7.5027 4.6184 8.2185 Å, 90.00 110.47 90.00°
Space group P2/m (No. 10)
Asymmetric unit:
Ac1 0.2402 0.0000 0.2297
Ac2 0.2493 0.5000 0.7688
Ge1 0.0000 0.5000 0.0000
Sb1 0.0000 0.0000 0.5000
Cl1 0.5000 0.0000 0.0000
Cl2 0.5000 0.5000 0.5000



No. 3
This record from Alexandria describes an optimized crystal structure of Eu4CuHg2. The functional is GGA-PBE.

formation enthalpy at 0 K = -165 meV per atom

Cell: 5.5551 5.5551 16.3018 Å, 90.00 90.00 90.00°
Space group I4/mmm (No. 139)
Asymmetric unit:
Eu1 0.0000 0.0000 0.1859
Eu2 0.0000 0.5000 0.0000
Cu1 0.0000 0.0000 0.0000
Hg1 0.0000 0.0000 0.3842



No. 4
This record from Alexandria describes an optimized crystal structure of LaDy3Rh. The functional is GGA-PBE.

formation enthalpy at 0 K = -269 meV per atom

Cell: 5.4443 5.4443 5.4443 Å, 90.00 90.00 90.00°
Space group Pm-3m (No. 221)
Asymmetric unit:
La1 0.0000 0.0000 0.0000
Dy1 0.0000 0.5000 0.5000
Rh1 0.5000 0.5000 0.5000



no.,calculated volume (Å³ per cell)
1,261.45
2,266.80
3,503.06
4,161.37